1.
The following is a DFT calculation (PBE) of a geometry-optimized Dy3PaRh4 structure.

a = 4.9182 Å, b = 4.9182 Å, c = 23.5772 Å
α = 90.00°, β = 90.00°, γ = 120.00°
Space group R-3m (No. 166, hexagonal axes)
Inequivalent atoms, fractional coordinates:
Dy: 0.0000 0.0000 0.0000 x3
Dy: 0.0000 0.0000 0.2541 x6
Pa: 0.0000 0.0000 0.5000 x3
Rh: 0.0000 0.0000 0.1296 x6
Rh: 0.0000 0.0000 0.3897 x6

Values from the calculation:
Its crystal system is trigonal. As for the mass density: 11.40 g cm⁻³. Its density of states at the Fermi level is 4.74 states/eV/f.u. The calculation puts the final energy at -7.427 eV/atom. For the calculated formation energy, the calculation gives -0.838 eV per atom.

=====

2.
The following is a DFT calculation (PBE) of a geometry-optimized LiCd2InCl6 structure.

a = 13.5566 Å, b = 13.2849 Å, c = 7.7501 Å
α = 90.00°, β = 111.20°, γ = 90.00°
Space group C2/c (No. 15)
Inequivalent atoms, fractional coordinates:
Li: 0.0000 0.1927 0.2500 x4
Cd: 0.1846 0.4213 0.6794 x8
In: 0.0000 0.1253 0.7500 x4
Cl: 0.1156 0.2566 0.5382 x8
Cl: 0.1168 0.0729 0.1769 x8
Cl: 0.1278 0.4320 0.9604 x8

Values from the calculation:
Its crystal system is monoclinic. As for the mass density: 2.85 g cm⁻³. Its density of states at the Fermi level is 0.00 states/eV/f.u. The calculation puts the final energy at -2.905 eV/atom.

=====

3.
The following is a DFT calculation (PBE) of a geometry-optimized YTiCuIr structure.

a = 6.5754 Å, b = 6.5754 Å, c = 6.5754 Å
α = 90.00°, β = 90.00°, γ = 90.00°
Space group F-43m (No. 216)
Inequivalent atoms, fractional coordinates:
Y: 0.0000 0.0000 0.0000 x4
Ti: 0.0000 0.0000 0.5000 x4
Cu: 0.2500 0.2500 0.2500 x4
Ir: 0.2500 0.2500 0.7500 x4

Values from the calculation:
Its crystal system is cubic. As for the mass density: 9.17 g cm⁻³. Its density of states at the Fermi level is 3.66 states/eV/f.u. The calculation puts the final energy at -7.211 eV/atom. For the calculated formation energy, the calculation gives -0.381 eV per atom.